9
Lattice="7.348 0.000 0.000 -3.674 6.363 0.000 0.000 0.000 4.584" Properties=species:S:1:pos:R:3 comment="Er3Mg3Al2In, optimized geometry, DFT GGA-PBE" dft_energy_ev_per_atom=-3.499 volume_a3_per_atom=23.8 density_g_cm3=5.76 pbc="T T T"
Er -1.613 2.794 0.000
Er 3.227 0.000 0.000
Er 2.060 3.569 0.000
Mg -2.768 4.795 2.292
Mg 0.905 1.568 2.292
Mg 5.537 0.000 2.292
Al 0.000 4.242 2.292
Al 3.674 2.121 2.292
In 0.000 0.000 0.000

6
Lattice="0.000 4.388 4.388 4.388 0.000 4.388 4.388 4.388 0.000" Properties=species:S:1:pos:R:3 comment="Tm2Cd, optimized geometry, DFT GGA-PBE" delta_e_f_kj_per_mol_atoms=26.03 dft_energy_ev_per_atom=-3.012 volume_a3_per_atom=28.2 density_g_cm3=8.85 pbc="T T T"
Tm 0.000 0.000 0.000
Tm 2.194 2.194 0.000
Tm 2.194 0.000 2.194
Tm 0.000 2.194 2.194
Cd 3.291 3.291 3.291
Cd 5.485 5.485 5.485